# 1
Material: LiTiPb2
Method: DFT, PBE-GGA
State: relaxed

## Properties
**ΔH_f (0 K)**: -36 meV per atom

CIF file:
```
data_LiTiPb2
_symmetry_space_group_name_H-M 'P 4/m m m'
_symmetry_Int_Tables_number 123
_symmetry_space_group_name_Hall '-P 4 2'
_cell_length_a 5.140
_cell_length_b 5.140
_cell_length_c 3.299
_cell_angle_alpha 90.00
_cell_angle_beta 90.00
_cell_angle_gamma 90.00
loop_
_atom_site_label
_atom_site_type_symbol
_atom_site_fract_x
_atom_site_fract_y
_atom_site_fract_z
Li1 Li 0.000 0.000 0.000
Ti1 Ti 0.500 0.500 0.000
Pb1 Pb 0.000 0.500 0.500
```

# 2
Material: Li2TiPb
Method: DFT, PBE-GGA
State: relaxed

## Properties
**ΔH_f (0 K)**: 267 meV per atom

CIF file:
```
data_Li2TiPb
_symmetry_space_group_name_H-M 'I -4 2 d'
_symmetry_Int_Tables_number 122
_symmetry_space_group_name_Hall 'I -4 2bw'
_cell_length_a 7.616
_cell_length_b 7.616
_cell_length_c 5.675
_cell_angle_alpha 90.00
_cell_angle_beta 90.00
_cell_angle_gamma 90.00
loop_
_atom_site_label
_atom_site_type_symbol
_atom_site_fract_x
_atom_site_fract_y
_atom_site_fract_z
Li1 Li 0.244 0.750 0.125
Ti1 Ti 0.000 0.000 0.500
Pb1 Pb 0.000 0.000 0.000
```

# 3
Material: Li9Ti4Pb11
Method: DFT, PBE-GGA
State: relaxed

## Properties
**ΔH_f (0 K)**: -105 meV per atom

CIF file:
```
data_Li9Ti4Pb11
_symmetry_space_group_name_H-M 'C m m m'
_symmetry_Int_Tables_number 65
_symmetry_space_group_name_Hall '-C 2 2'
_cell_length_a 14.967
_cell_length_b 22.545
_cell_length_c 3.231
_cell_angle_alpha 90.00
_cell_angle_beta 90.00
_cell_angle_gamma 90.00
loop_
_atom_site_label
_atom_site_type_symbol
_atom_site_fract_x
_atom_site_fract_y
_atom_site_fract_z
Li1 Li 0.000 0.000 0.000
Li2 Li 0.106 0.240 0.000
Li3 Li 0.140 0.432 0.000
Ti1 Ti 0.154 0.104 0.000
Pb1 Pb 0.000 0.138 0.500
Pb2 Pb 0.000 0.341 0.500
Pb3 Pb 0.000 0.500 0.500
Pb4 Pb 0.193 0.000 0.500
Pb5 Pb 0.223 0.322 0.500
```

# 4
Material: LiTiPb3
Method: DFT, PBE-GGA
State: relaxed

## Properties
**ΔH_f (0 K)**: 552 meV per atom

CIF file:
```
data_LiTiPb3
_symmetry_space_group_name_H-M 'P m -3 m'
_symmetry_Int_Tables_number 221
_symmetry_space_group_name_Hall '-P 4 2 3'
_cell_length_a 5.064
_cell_length_b 5.064
_cell_length_c 5.064
_cell_angle_alpha 90.00
_cell_angle_beta 90.00
_cell_angle_gamma 90.00
loop_
_atom_site_label
_atom_site_type_symbol
_atom_site_fract_x
_atom_site_fract_y
_atom_site_fract_z
Li1 Li 0.000 0.000 0.000
Ti1 Ti 0.500 0.500 0.500
Pb1 Pb 0.000 0.000 0.500
```

# 5
Material: LiTiPb2
Method: DFT, PBE-GGA
State: relaxed

## Properties
**ΔH_f (0 K)**: 224 meV per atom

CIF file:
```
data_LiTiPb2
_symmetry_space_group_name_H-M 'I -4 2 d'
_symmetry_Int_Tables_number 122
_symmetry_space_group_name_Hall 'I -4 2bw'
_cell_length_a 7.530
_cell_length_b 7.530
_cell_length_c 6.485
_cell_angle_alpha 90.00
_cell_angle_beta 90.00
_cell_angle_gamma 90.00
loop_
_atom_site_label
_atom_site_type_symbol
_atom_site_fract_x
_atom_site_fract_y
_atom_site_fract_z
Li1 Li 0.000 0.000 0.000
Ti1 Ti 0.000 0.000 0.500
Pb1 Pb 0.231 0.250 0.125
```

# 6
Material: LiTi2Pb
Method: DFT, PBE-GGA
State: relaxed

## Properties
**ΔH_f (0 K)**: 369 meV per atom

CIF file:
```
data_LiTi2Pb
_symmetry_space_group_name_H-M 'I -4 2 d'
_symmetry_Int_Tables_number 122
_symmetry_space_group_name_Hall 'I -4 2bw'
_cell_length_a 7.665
_cell_length_b 7.665
_cell_length_c 5.206
_cell_angle_alpha 90.00
_cell_angle_beta 90.00
_cell_angle_gamma 90.00
loop_
_atom_site_label
_atom_site_type_symbol
_atom_site_fract_x
_atom_site_fract_y
_atom_site_fract_z
Li1 Li 0.000 0.000 0.000
Ti1 Ti 0.241 0.250 0.125
Pb1 Pb 0.000 0.000 0.500
```